# 1
Entry from the Alexandria database: crystalline Ba2Rh at its relaxed geometry (GGA-PBEsol).

Lattice parameters (Å, degrees): 4.2846 7.6457 9.6160 129.97 90.00 106.27
Last column: nearest neighbours and their distance in Å.
Fractional positions:
Ba (0.1960, 0.3920, 0.7873)  3 Rh 3.10-3.39
Ba (0.5686, 0.1372, 0.2615)  4 Rh 3.02-3.38
Rh (0.9010, 0.8019, 0.9771)  1 Rh 2.63
Ba (0.4314, 0.8628, 0.7385)  4 Rh 3.02-3.38
Rh (0.0990, 0.1981, 0.0229)  1 Rh 2.63
Ba (0.8040, 0.6080, 0.2127)  3 Rh 3.10-3.39

Results
M_tot (μB/f.u.): 0.0
Fermi-level density of states (states/eV/f.u.): 2.3
SG: C2/m
Energy of formation from the pure elements (meV per atom): -94

=====

# 2
Entry from the Alexandria database: crystalline Ba2Rh at its relaxed geometry (GGA-PBEsol).

Lattice parameters (Å, degrees): 4.9657 8.1880 8.1880 120.00 90.00 90.00
Last column: nearest neighbours and their distance in Å.
Fractional positions:
Rh (0.0000, 0.6667, 0.3333)  3 Ba 3.05
Ba (0.5000, 0.0000, 0.5904)  5 Rh 3.35-3.51, 2 Ba 3.65
Rh (0.0000, 0.3333, 0.6667)  3 Ba 3.05
Ba (0.5000, 0.4096, 0.4096)  5 Rh 3.35-3.51, 2 Ba 3.65
Ba (0.0000, 0.2642, 0.0000)  4 Rh 3.05-3.29
Ba (0.5000, 0.5904, 0.0000)  5 Rh 3.35-3.51, 2 Ba 3.65
Ba (0.0000, 0.7358, 0.7358)  4 Rh 3.05-3.29
Ba (0.0000, 0.0000, 0.2642)  4 Rh 3.05-3.29
Rh (0.5000, 0.0000, 0.0000)  9 Ba 3.29-3.35

Results
M_tot (μB/f.u.): 0.0
Fermi-level density of states (states/eV/f.u.): 2.1
SG: P-62m
Energy of formation from the pure elements (meV per atom): -42

=====

# 3
Entry from the Alexandria database: crystalline BaRuRh3 at its relaxed geometry (GGA-PBEsol).

Lattice parameters (Å, degrees): 4.8667 4.8667 4.8667 90.00 90.00 90.00
Last column: nearest neighbours and their distance in Å.
Fractional positions:
Ba (0.0000, 0.0000, 0.0000)  6 Rh 2.43
Rh (0.0000, 0.5000, 0.0000)  2 Ba 2.43
Rh (0.0000, 0.0000, 0.5000)  2 Ba 2.43
Ru (0.5000, 0.5000, 0.5000)  12 Rh 3.44
Rh (0.5000, 0.0000, 0.0000)  2 Ba 2.43

Results
M_tot (μB/f.u.): 3.7
Fermi-level density of states (states/eV/f.u.): 6.7
Polymorph energy (0 for the lowest one) (meV/atom): 1893
SG: Pm-3m
Energy of formation from the pure elements (meV per atom): 2576

=====

# 4
Entry from the Alexandria database: crystalline Ba2RuRh at its relaxed geometry (GGA-PBEsol).

Lattice parameters (Å, degrees): 4.2728 4.2728 9.0829 73.78 73.78 61.18
Last column: nearest neighbours and their distance in Å.
Fractional positions:
Ba (0.0221, 0.0221, 0.8778)  3 Ru 3.18-3.36, 3 Rh 3.21-3.34
Rh (0.4458, 0.4458, 0.6256)  3 Ru 2.40-2.66
Ru (0.8078, 0.8078, 0.6243)  3 Rh 2.40-2.66
Ba (0.2244, 0.2244, 0.3722)  3 Ru 3.18-3.36, 3 Rh 3.22-3.34

Results
M_tot (μB/f.u.): 0.9
Fermi-level density of states (states/eV/f.u.): 4.9
Polymorph energy (0 for the lowest one) (meV/atom): 0
SG: Cm
Energy of formation from the pure elements (meV per atom): 155

=====

# 5
Entry from the Alexandria database: crystalline BaRuRh2 at its relaxed geometry (GGA-PBEsol).

Lattice parameters (Å, degrees): 4.2670 4.9329 4.2670 64.37 90.00 115.63
Last column: nearest neighbours and their distance in Å.
Fractional positions:
Ru (0.5000, 0.0000, 0.5000)  8 Rh 2.89-3.02, 4 Ba 2.89
Ba (0.7500, 0.5000, 0.7500)  8 Rh 2.89-3.02, 4 Ru 2.89
Rh (0.2500, 0.5000, 0.2500)  4 Ru 2.89, 4 Rh 2.89, 4 Ba 3.02
Rh (0.0000, 0.0000, 0.0000)  4 Ba 2.89, 4 Rh 2.89, 4 Ru 3.02

Results
M_tot (μB/f.u.): 0.6
Fermi-level density of states (states/eV/f.u.): 7.6
Polymorph energy (0 for the lowest one) (meV/atom): 597
SG: I-4m2
Energy of formation from the pure elements (meV per atom): 867

=====

# 6
Entry from the Alexandria database: crystalline Ba2RuRh at its relaxed geometry (GGA-PBEsol).

Lattice parameters (Å, degrees): 3.6887 5.1411 5.1411 90.00 90.00 90.00
Last column: nearest neighbours and their distance in Å.
Fractional positions:
Ru (0.5000, 0.0000, 0.0000)  8 Ba 3.16
Ba (0.0000, 0.0000, 0.5000)  4 Ru 3.16, 4 Rh 3.16
Rh (0.5000, 0.5000, 0.5000)  8 Ba 3.16
Ba (0.0000, 0.5000, 0.0000)  4 Rh 3.16, 4 Ru 3.16

Results
M_tot (μB/f.u.): 0.0
Fermi-level density of states (states/eV/f.u.): 5.0
Polymorph energy (0 for the lowest one) (meV/atom): 524
SG: P4/mmm
Energy of formation from the pure elements (meV per atom): 679

=====

# 7
Entry from the Alexandria database: crystalline BaRu2Rh at its relaxed geometry (GGA-PBEsol).

Lattice parameters (Å, degrees): 2.8977 2.8977 9.9355 81.61 81.61 60.00
Last column: nearest neighbours and their distance in Å.
Fractional positions:
Ba (0.5000, 0.5000, 0.5000)  6 Ba 2.90
Ru (0.2646, 0.2646, 0.2061)  3 Rh 2.62, 6 Ru 2.90
Rh (0.0000, 0.0000, 0.0000)  6 Ru 2.62, 6 Rh 2.90
Ru (0.7354, 0.7354, 0.7939)  3 Rh 2.62, 6 Ru 2.90

Results
M_tot (μB/f.u.): 0.0
Fermi-level density of states (states/eV/f.u.): 6.8
Polymorph energy (0 for the lowest one) (meV/atom): 626
SG: R-3m
Energy of formation from the pure elements (meV per atom): 1049

=====

# 8
Entry from the Alexandria database: crystalline BaRu2Rh at its relaxed geometry (GGA-PBEsol).

Lattice parameters (Å, degrees): 4.2601 4.2601 4.8905 115.82 115.82 90.00
Last column: nearest neighbours and their distance in Å.
Fractional positions:
Ru (0.2500, 0.7500, 0.5000)  4 Rh 2.87, 4 Ba 2.87, 4 Ru 3.01
Rh (0.0000, 0.0000, 0.0000)  8 Ru 2.87, 4 Ba 3.01
Ru (0.7500, 0.2500, 0.5000)  4 Ba 2.87, 4 Rh 2.87, 4 Ru 3.01
Ba (0.5000, 0.5000, 0.0000)  8 Ru 2.87, 4 Rh 3.01

Results
M_tot (μB/f.u.): 0.0
Fermi-level density of states (states/eV/f.u.): 7.4
Polymorph energy (0 for the lowest one) (meV/atom): 687
SG: I4/mmm
Energy of formation from the pure elements (meV per atom): 1110

=====

# 9
Entry from the Alexandria database: crystalline BaRu2Rh at its relaxed geometry (GGA-PBEsol).

Lattice parameters (Å, degrees): 4.3336 4.3336 6.1853 69.49 69.49 60.00
Last column: nearest neighbours and their distance in Å.
Fractional positions:
Ru (0.8146, 0.8146, 0.5561)  3 Rh 2.52, 3 Ru 2.58
Rh (0.5000, 0.5000, 0.5000)  6 Ru 2.52
Ru (0.1854, 0.1854, 0.4439)  3 Rh 2.52, 3 Ru 2.58
Ba (0.0000, 0.0000, 0.0000)  2 Ru 3.15

Results
M_tot (μB/f.u.): 0.0
Fermi-level density of states (states/eV/f.u.): 5.2
Polymorph energy (0 for the lowest one) (meV/atom): 0
SG: R-3m
Energy of formation from the pure elements (meV per atom): 424

=====

# 10
Entry from the Alexandria database: crystalline BaRuRh2 at its relaxed geometry (GGA-PBEsol).

Lattice parameters (Å, degrees): 4.3609 4.3609 6.1255 69.12 69.12 60.00
Last column: nearest neighbours and their distance in Å.
Fractional positions:
Rh (0.9349, 0.9349, 0.1952)  3 Rh 2.54, 3 Ru 2.58
Rh (0.2482, 0.2482, 0.2551)  3 Ru 2.53, 3 Rh 2.54
Ru (0.5668, 0.5668, 0.2995)  6 Rh 2.53-2.58
Ba (0.7501, 0.7501, 0.7502)  1 Ru 3.07, 1 Rh 3.10

Results
M_tot (μB/f.u.): 0.0
Fermi-level density of states (states/eV/f.u.): 6.1
Polymorph energy (0 for the lowest one) (meV/atom): 0
SG: R3m
Energy of formation from the pure elements (meV per atom): 270

=====

# 11
Entry from the Alexandria database: crystalline Ba2RuRh at its relaxed geometry (GGA-PBEsol).

Lattice parameters (Å, degrees): 5.1712 5.1712 5.1712 60.00 60.00 60.00
Last column: nearest neighbours and their distance in Å.
Fractional positions:
Ba (0.2500, 0.2500, 0.2500)  4 Ru 3.17, 4 Rh 3.17
Ba (0.7500, 0.7500, 0.7500)  4 Ru 3.17, 4 Rh 3.17
Ru (0.0000, 0.0000, 0.0000)  8 Ba 3.17
Rh (0.5000, 0.5000, 0.5000)  8 Ba 3.17

Results
M_tot (μB/f.u.): 0.0
Fermi-level density of states (states/eV/f.u.): 4.7
Polymorph energy (0 for the lowest one) (meV/atom): 535
SG: Fm-3m
Energy of formation from the pure elements (meV per atom): 691

=====

# 12
Entry from the Alexandria database: crystalline BaRuRh3 at its relaxed geometry (GGA-PBEsol).

Lattice parameters (Å, degrees): 4.7257 4.7257 4.7257 90.00 90.00 90.00
Last column: nearest neighbours and their distance in Å.
Fractional positions:
Rh (0.0000, 0.5000, 0.0000)  2 Ru 2.36
Rh (0.0000, 0.0000, 0.5000)  2 Ru 2.36
Ru (0.0000, 0.0000, 0.0000)  6 Rh 2.36
Rh (0.5000, 0.0000, 0.0000)  2 Ru 2.36
Ba (0.5000, 0.5000, 0.5000)  12 Rh 3.34

Results
M_tot (μB/f.u.): 0.0
Fermi-level density of states (states/eV/f.u.): 4.4
Polymorph energy (0 for the lowest one) (meV/atom): 0
SG: Pm-3m
Energy of formation from the pure elements (meV per atom): 683